[1]
! Dy7Mg2Os2 | Alexandria via LeMat-Bulk | PBE-GGA | optimized geometry; values from VASP
&SYSTEM
  ibrav = 0, nat = 11, ntyp = 3
/
ATOMIC_SPECIES
Dy 162.50 Dy.upf
Mg 24.30 Mg.upf
Os 190.23 Os.upf
ATOMIC_POSITIONS angstrom
Dy 0.0000 0.0000 0.0000
Dy 2.0539 2.7162 1.7671
Dy 2.0539 2.7162 5.4793
Dy 2.0539 -2.7162 1.7671
Dy 2.0539 -2.7162 5.4793
Dy 4.1078 0.0000 1.6959
Dy 4.1078 0.0000 5.5505
Mg 1.4208 0.0000 3.6232
Mg 6.7948 0.0000 3.6232
Os 4.1078 2.3014 0.0000
Os 4.1078 -2.3014 0.0000
CELL_PARAMETERS angstrom
4.1078 -5.4324 0.0000
4.1078 5.4324 0.0000
0.0000 0.0000 7.2464
! **ρ**: 8.043 Mg/m³
! **Space group**: Cmmm, No. 65
! **N(E_F)**: 10.40 states/eV/f.u.
! **Formation enthalpy at 0 K**: -30 meV/atom

[2]
! LiMn3S | Alexandria via LeMat-Bulk | PBE-GGA | optimized geometry; values from VASP
&SYSTEM
  ibrav = 0, nat = 5, ntyp = 3
/
ATOMIC_SPECIES
Li 6.94 Li.upf
Mn 54.94 Mn.upf
S 32.06 S.upf
ATOMIC_POSITIONS angstrom
Li 0.0000 0.0000 0.0000
Mn 0.0000 0.0000 2.1643
Mn 0.0000 2.1643 0.0000
Mn 2.1643 0.0000 0.0000
S 2.1643 2.1643 2.1643
CELL_PARAMETERS angstrom
4.3287 0.0000 0.0000
0.0000 4.3287 0.0000
0.0000 0.0000 4.3287
! **ρ**: 4.173 Mg/m³
! **E_form (uncorrected)**: 0.9512 eV per atom
! **Space group**: Pm-3m, No. 221
! **N(E_F)**: 1.76 states/eV/f.u.

[3]
! LaZrPd3 | Alexandria via LeMat-Bulk | PBE-GGA | optimized geometry; values from VASP
&SYSTEM
  ibrav = 0, nat = 5, ntyp = 3
/
ATOMIC_SPECIES
La 138.91 La.upf
Zr 91.22 Zr.upf
Pd 106.42 Pd.upf
ATOMIC_POSITIONS angstrom
La 0.0000 0.0000 0.0000
Zr 2.4989 2.4989 2.4989
Pd 0.0000 2.4989 2.4989
Pd 2.4989 0.0000 2.4989
Pd 2.4989 2.4989 0.0000
CELL_PARAMETERS angstrom
4.9977 0.0000 0.0000
0.0000 4.9977 0.0000
0.0000 0.0000 4.9977
! **ρ**: 7.308 Mg/m³
! **Space group**: Pm-3m, No. 221
! **N(E_F)**: 2.56 states/eV/f.u.
! **Formation enthalpy at 0 K**: -161 meV/atom